<i>
The following is a DFT calculation (PBE) of a geometry-optimized Ta3AgS structure.

```
5
Lattice="-1.1762 4.4507 -1.7022 -4.3649 -0.3030 2.2238 1.9115 2.0467 4.0307" Properties=species:S:1:pos:R:3 pbc="T T T"
S -1.8148 3.0972 2.2762
Ta -0.5881 2.2254 -0.8511
Ta 0.9558 1.0234 2.0154
Ta -2.1825 -0.1515 1.1119
Ag 0.0000 0.0000 0.0000
```

magnetic moment = 0.0 Bohr magnetons per cell
density of states at the Fermi level = 3.58 states/eV/f.u.
space-group type = No. 221

---

<ii>
The following is a DFT calculation (PBE) of a geometry-optimized Ta3AgS structure.

```
5
Lattice="4.5597 0.0000 0.0000 0.0000 4.5597 0.0000 0.0000 0.0000 4.5597" Properties=species:S:1:pos:R:3 pbc="T T T"
Ta 0.0000 2.2799 0.0000
Ta 0.0000 0.0000 2.2799
Ta 2.2799 0.0000 0.0000
Ag 2.2799 2.2799 2.2799
S 0.0000 0.0000 0.0000
```

magnetic moment = 0.0 Bohr magnetons per cell
density of states at the Fermi level = 6.62 states/eV/f.u.
space-group type = No. 221

---

The structure with the greatest stability is <ii>.

---

<i>
The following is a DFT calculation (PBE) of a geometry-optimized TaAg7S6 structure.

```
28
Lattice="-6.5981 -2.3880 -1.8817 1.8285 -7.2399 2.7760 -1.9386 -4.3429 12.3086" Properties=species:S:1:pos:R:3 pbc="T T T"
S -5.1678 -9.3450 2.1602
S -1.9206 -10.5195 13.0076
S -1.3877 -6.6516 6.8760
S -4.2200 -9.5311 5.9211
S -5.9294 -10.1159 12.0115
S -1.4490 -3.6239 3.2522
S -1.8962 -8.0678 3.3324
S -5.9923 -7.0888 8.3872
S -3.0861 -10.3191 9.4238
S -2.8020 -7.0198 11.2037
S -4.8882 -5.9542 4.1779
S 0.3535 -9.1674 10.1656
Ag -3.7577 -7.1807 7.2678
Ag -0.6224 -4.2987 6.9058
Ag -3.6735 -2.6354 2.5163
Ag -5.3531 -5.3229 1.7874
Ag -4.7910 -4.8605 8.6284
Ag -4.9395 -8.5486 10.2585
Ag -5.9069 -4.3906 -1.0320
Ag -2.1419 -5.7154 4.6256
Ag -2.8017 -2.9210 5.3238
Ag -2.3194 -4.8396 1.2472
Ag -1.7521 -5.8403 9.2451
Ag -6.5078 -6.0830 10.6977
Ag -5.9844 -12.4622 10.8359
Ag 0.6021 -8.2578 6.2836
Ta 0.1576 -7.8343 2.3273
Ta -4.0872 -11.1912 7.5475
```

magnetic moment = 0.0 Bohr magnetons per cell
space-group type = No. 7

---

<ii>
The following is a DFT calculation (PBE) of a geometry-optimized TaAg7S6 structure.

```
14
Lattice="7.4900 -0.0437 -0.4447 -3.6409 6.6287 0.0091 -3.8906 -2.4418 6.5300" Properties=species:S:1:pos:R:3 pbc="T T T"
Ag 2.4765 -0.3716 5.3163
Ag 2.0713 1.5978 0.0226
Ag -5.4860 2.8606 6.0637
Ag -0.7407 2.1937 4.5459
Ag -5.1349 4.7978 3.7489
Ag 0.9245 -0.8211 2.4849
Ag -1.6618 0.6469 1.8224
S 1.6448 2.5494 2.4569
S -3.6163 6.5600 0.1417
S -2.1242 3.0921 2.5695
S -3.3700 1.7062 5.8753
S 3.7523 -0.4371 2.4220
S -0.0037 -0.2076 4.9019
Ta -3.7768 1.8106 3.5775
```

magnetic moment = 0.0 Bohr magnetons per cell
space-group type = No. 1

---

The structure with the greatest stability is <i>.